Record 1
Ba2In4Ga3Hg: relaxed, PBE-GGA.

Computed properties:
ΔE_f = -375 meV/atom
spin magnetization = 0.00 μB per formula unit

Cell lengths 4.8854, 4.8854, 11.6883 Å; angles 90.00, 90.00, 90.00 degrees
Last column: nearest neighbours and their distance in Å.
Space group P-4m2 (No. 115)
Unique sites:
Ba 0.0000 0.5000 0.2483 [2 per cell]  8 In 3.71-3.82, 6 Ga 3.72-3.79, 2 Hg 3.79
In 0.0000 0.0000 0.5000 [1 per cell]  4 Ga 2.89
In 0.0000 0.5000 0.8677 [2 per cell]  3 Ga 2.74-2.89, 2 Hg 2.89
In 0.5000 0.5000 0.5000 [1 per cell]  4 Ga 2.89
Ga 0.0000 0.0000 0.0000 [1 per cell]  4 In 2.89
Ga 0.0000 0.5000 0.6328 [2 per cell]  5 In 2.74-2.89
Hg 0.5000 0.5000 0.0000 [1 per cell]  4 In 2.89

***

Record 2
BaGaHg2Ir: relaxed, PBE-GGA.

Computed properties:
distance to the lowest polymorph of the same formula = 1034 meV per atom
ΔE_f = 698 meV/atom
spin magnetization = 1.17 μB per formula unit

Cell lengths 5.0512, 5.0512, 6.3845 Å; angles 90.00, 90.00, 90.00 degrees
Last column: nearest neighbours and their distance in Å.
Space group P4/mmm (No. 123)
Unique sites:
Ba 0.0000 0.0000 0.0000 [1 per cell]  2 Ga 3.19, 4 Ir 3.57
Ga 0.0000 0.0000 0.5000 [1 per cell]  4 Hg 2.53
Hg 0.0000 0.5000 0.5000 [2 per cell]  2 Ga 2.53
Ir 0.5000 0.5000 0.0000 [1 per cell]  4 Ba 3.57

***

Record 3
BaGaHg2Ir: relaxed, PBE-GGA.

Computed properties:
distance to the lowest polymorph of the same formula = 0 meV per atom
ΔE_f = -337 meV/atom
spin magnetization = 0.00 μB per formula unit

Cell lengths 5.3559, 5.3559, 4.8191 Å; angles 90.00, 90.00, 90.00 degrees
Last column: nearest neighbours and their distance in Å.
Space group P4/mmm (No. 123)
Unique sites:
Ba 0.0000 0.0000 0.0000 [1 per cell]  8 Hg 3.60, 4 Ga 3.79
Ga 0.5000 0.5000 0.0000 [1 per cell]  2 Ir 2.41
Hg 0.0000 0.5000 0.5000 [2 per cell]  2 Ir 2.68
Ir 0.5000 0.5000 0.5000 [1 per cell]  2 Ga 2.41, 4 Hg 2.68

***

Record 4
BaGa2HgIr: relaxed, PBE-GGA.

Computed properties:
distance to the lowest polymorph of the same formula = 0 meV per atom
ΔE_f = -421 meV/atom
spin magnetization = 0.00 μB per formula unit

Cell lengths 4.8681, 4.8681, 5.3704 Å; angles 90.00, 90.00, 90.00 degrees
Last column: nearest neighbours and their distance in Å.
Space group P4/mmm (No. 123)
Unique sites:
Ba 0.0000 0.0000 0.0000 [1 per cell]  4 Hg 3.44, 8 Ga 3.62
Ga 0.0000 0.5000 0.5000 [2 per cell]  2 Ir 2.43
Hg 0.5000 0.5000 0.0000 [1 per cell]  2 Ir 2.69
Ir 0.5000 0.5000 0.5000 [1 per cell]  4 Ga 2.43, 2 Hg 2.69

***

Record 5
BaGa2HgIr: relaxed, PBE-GGA.

Computed properties:
distance to the lowest polymorph of the same formula = 89 meV per atom
ΔE_f = -331 meV/atom
spin magnetization = 0.00 μB per formula unit

Cell lengths 4.8886, 4.8886, 6.1102 Å; angles 90.00, 90.00, 90.00 degrees
Last column: nearest neighbours and their distance in Å.
Space group P4/mmm (No. 123)
Unique sites:
Ba 0.0000 0.0000 0.0000 [1 per cell]  2 Ir 3.06
Ga 0.0000 0.5000 0.5000 [2 per cell]  2 Ir 2.44
Hg 0.5000 0.5000 0.0000 [1 per cell]  4 Ba 3.46
Ir 0.0000 0.0000 0.5000 [1 per cell]  4 Ga 2.44

***

Record 6
Ba2GaHgIr: relaxed, PBE-GGA.

Computed properties:
ΔE_f = -351 meV/atom
spin magnetization = 0.00 μB per formula unit

Cell lengths 6.1049, 6.1049, 4.8426 Å; angles 90.00, 90.00, 90.00 degrees
Last column: nearest neighbours and their distance in Å.
Space group P4/mmm (No. 123)
Unique sites:
Ba 0.0000 0.5000 0.0000 [2 per cell]  2 Ir 3.05
Ga 0.0000 0.0000 0.5000 [1 per cell]  2 Ir 2.42
Hg 0.5000 0.5000 0.5000 [1 per cell]  8 Ba 3.90, 4 Ga 4.32
Ir 0.0000 0.0000 0.0000 [1 per cell]  2 Ga 2.42